# 1
DFT (PBE-GGA) results for an optimized crystal structure of NaBeAsPd.

Lattice parameters (Å, degrees): 4.4119 4.4119 4.4119 60.00 60.00 60.00
Atoms (fractional coordinates):
As 0.5000 0.5000 0.5000
Be 0.7500 0.7500 0.7500
Na 0.2500 0.2500 0.2500
Pd 0.0000 0.0000 0.0000

electronic total energy	-0.268	Ry per atom
ΔE to the lowest computed polymorph	0.057	eV/atom

***

# 2
DFT (PBE-GGA) results for an optimized crystal structure of NaBeAsPt.

Lattice parameters (Å, degrees): 4.3719 4.3719 4.3719 60.00 60.00 60.00
Atoms (fractional coordinates):
As 0.5000 0.5000 0.5000
Be 0.0000 0.0000 0.0000
Na 0.7500 0.7500 0.7500
Pt 0.2500 0.2500 0.2500

electronic total energy	-0.294	Ry per atom
ΔE to the lowest computed polymorph	0.000	eV/atom

***

What are the volume values for these records? In order: 15.2 14.8 Å³ per atom.